Computed, not measured: crystalline MnCO2F at its relaxed geometry at the PBE+U level of DFT.

Magnetic moment (μB/atom): 0.800
Space-group type: No. 123
Calculated total energy (eV per cell): -26.5

Structure (POSCAR):
```
MnCO2F
1.0
3.8143 0.0000 0.0000
0.0000 3.8143 0.0000
0.0000 0.0000 3.8107
Mn C O F
1 1 2 1
Cartesian
0.0000 0.0000 0.0000
1.9071 1.9071 1.9053
0.0000 1.9071 0.0000
1.9071 0.0000 0.0000
0.0000 0.0000 1.9053
```